Below is a crystal of Zn4Os relaxed with PBEsol, with properties calculated at the meta-GGA SCAN level.

Values from the calculation:
crystal system = tetragonal
uncorrected energy = -25.16 eV/atom
magnetization = 0.00 μB/atom
space-group type = I4/m
DFT formation energy = 29.1 meV per atom

Geometry as POSCAR:
```
Zn4Os
1.0
3.459 0.000 0.000
1.730 4.422 0.000
1.730 0.000 4.422
Os Zn
1 4
Direct
0.000 0.000 0.000
0.607 0.192 0.594
0.201 0.406 0.192
0.393 0.808 0.406
0.799 0.594 0.808
```